No. 1
# BaBiTe2Ru

Crystalline BaBiTe2Ru at its relaxed geometry (GGA-PBEsol, Alexandria).

Lattice parameters (Å, degrees): 6.178 6.178 6.170 90.00 90.00 90.00
Last column: magnetic moment on the atom in μB.
Element x y z (fractional)
Ru: 0.500 0.500 0.500  2.78
Te: 0.000 0.500 0.000  -0.02
Te: 0.500 0.000 0.000  -0.02
Bi: 0.000 0.000 0.500  0.03
Ba: 0.000 0.000 0.000  0.00

N(E_F): 1.491 states/eV/atom
uncorrected formation energy: 809 kJ/mol of formula units

---

No. 2
# BeIrS2

Crystalline BeIrS2 at its relaxed geometry (GGA-PBEsol, Alexandria).

Lattice parameters (Å, degrees): 5.027 5.027 6.116 114.26 114.26 90.00
Element x y z (fractional)
Be: 0.750 0.250 0.500
Be: 0.500 0.500 0.000
S: 0.408 0.875 0.250
S: 0.842 0.375 0.250
S: 0.125 0.158 0.750
S: 0.625 0.592 0.750
Ir: 0.250 0.750 0.500
Ir: 0.000 0.000 0.000

N(E_F): 0.403 states/eV/atom
uncorrected formation energy: -131 kJ/mol of formula units

---

No. 3
# CaRe4Se

Crystalline CaRe4Se at its relaxed geometry (GGA-PBEsol, Alexandria).

Lattice parameters (Å, degrees): 5.278 5.278 5.278 60.00 60.00 60.00
Element x y z (fractional)
Ca: 0.000 0.000 0.000
Re: 0.376 0.376 0.376
Re: 0.376 0.376 0.872
Re: 0.872 0.376 0.376
Re: 0.376 0.872 0.376
Se: 0.750 0.750 0.750

N(E_F): 0.615 states/eV/atom
uncorrected formation energy: 348 kJ/mol of formula units

---

No. 4
# BaRh2W

Crystalline BaRh2W at its relaxed geometry (GGA-PBEsol, Alexandria).

Lattice parameters (Å, degrees): 3.153 3.145 7.919 90.00 90.01 90.00
Element x y z (fractional)
Ba: 0.500 0.500 0.500
Rh: 0.000 0.000 0.824
Rh: 0.000 0.000 0.176
W: 0.500 0.500 0.000

N(E_F): 0.818 states/eV/atom
E above lowest polymorph: 0.000 eV/atom

---

no.,raw total energy (eV/f.u.)
1,-15.28
2,-23.95
3,-55.71
4,-31.61